1.
TiFeAs2Pt | Alexandria via LeMat-Bulk | PBE | optimized geometry; energy relative to the elements = 3.63 eV per formula unit; total magnetic moment = 0.332 μB/atom
1.0
-1.283 -1.969 4.233
1.500 -4.211 -1.504
4.407 0.937 1.772
As Fe Ti Pt
2 1 1 1
Cartesian
2.203 0.469 0.886
-0.642 -0.984 2.116
0.750 -2.105 -0.752
2.312 -2.621 2.251
0.000 0.000 0.000

---

2.
Li4TlAg | Alexandria via LeMat-Bulk | PBE | optimized geometry; polymorph energy (0 for the lowest one) = 0.000 eV per atom; energy relative to the elements = -1.01 eV per formula unit; total magnetic moment = 0.000 μB/atom
1.0
-2.041 0.621 2.091
1.425 -3.692 2.486
5.192 4.520 3.741
Li Tl Ag
4 1 1
Cartesian
3.814 1.265 4.063
4.245 0.376 6.892
0.920 -2.511 4.506
1.181 0.180 3.956
0.458 -1.651 1.657
3.575 -1.404 4.629